Compound: AcCdGaPt
Source: the Alexandria database
Functional: PBE
Structure: relaxed

a b c (Å): 7.249 7.249 7.249
angles (deg): 90.00 90.00 90.00
Space group F-43m (No. 216)
Unique sites:
Ac: 0.000 0.000 0.000 (multiplicity 4)
Cd: 0.000 0.000 0.500 (multiplicity 4)
Ga: 0.250 0.250 0.750 (multiplicity 4)
Pt: 0.250 0.250 0.250 (multiplicity 4)

Computed properties:
The value obtained for the mass density is 10535 kg/m3. The formation energy from the elements comes out at -0.49 eV per atom. For the total DFT energy (no corrections), the calculation gives -64.3 eV for the cell shown.